Compound: MgZrFe2O6
Source: the Alexandria database
Functional: PBE with a Hubbard U
Structure: optimized geometry

## Properties
- N(E_F): 0.000 states/eV/cell
- Electronic total energy: -7.19 eV per atom

Cell and atoms, written as POSCAR:
```
MgZrFe2O6
1.0
-1.815 -3.918 -2.891
3.057 -4.058 -1.089
-1.069 -4.808 2.516
Mg Zr Fe O
1 1 2 6
Cartesian
0.383 -9.221 -1.756 Mg
0.303 -2.819 -1.040 Zr
0.163 -6.281 -0.931 Fe
-1.003 -4.712 2.345 Fe
-0.708 -4.574 -1.486 O
2.064 -5.684 -1.037 O
0.063 -7.238 -2.679 O
0.736 -8.101 -0.052 O
-1.739 -6.986 -0.384 O
0.165 -5.679 1.082 O
```